HfMnBe2 after structural relaxation. Source: Alexandria, functional PBE-GGA. Values from VASP.

Output
VASP energy	-6.6958	eV/atom
E above lowest polymorph	0	meV per atom
energy of formation	-51.9	meV/atom
space group	Fm-3m

Quantum ESPRESSO input file:
```
&SYSTEM
  ibrav = 0, nat = 4, ntyp = 3
/
ATOMIC_SPECIES
Be 9.01 Be.upf
Mn 54.94 Mn.upf
Hf 178.49 Hf.upf
CELL_PARAMETERS angstrom
-2.665 0.195 3.166
-3.995 -0.921 -0.596
-1.583 -3.482 1.592
ATOMIC_POSITIONS angstrom
Be -2.061 -1.052 1.041
Be -6.183 -3.156 3.122
Mn 0.000 0.000 0.000
Hf -4.122 -2.104 2.081
```



Hf2MnBe16 after structural relaxation. Source: Alexandria, functional PBE-GGA. Values from VASP.

Output
VASP energy	-4.8705	eV/atom
energy of formation	-202.3	meV/atom
space group	R3m

Quantum ESPRESSO input file:
```
&SYSTEM
  ibrav = 0, nat = 19, ntyp = 3
/
ATOMIC_SPECIES
Hf 178.49 Hf.upf
Mn 54.94 Mn.upf
Be 9.01 Be.upf
CELL_PARAMETERS angstrom
5.657 0.001 0.638
0.570 5.628 0.638
0.001 0.001 5.693
ATOMIC_POSITIONS angstrom
Hf 4.120 3.724 4.611
Hf 2.141 1.935 2.395
Mn 5.630 5.089 6.301
Be 4.594 5.623 2.708
Be 5.814 1.599 4.869
Be 2.013 4.005 6.323
Be 6.057 4.005 2.708
Be 4.187 1.599 6.323
Be 2.177 5.623 4.869
Be 2.427 4.734 2.716
Be 4.954 1.938 2.716
Be 2.144 1.938 5.227
Be 3.799 0.872 4.252
Be 1.250 3.692 4.252
Be 4.085 3.692 1.719
Be 5.942 2.818 6.649
Be 3.403 5.628 6.649
Be 6.226 5.628 4.126
Be 0.659 0.595 0.737
```



Hf3Mn2Be after structural relaxation. Source: Alexandria, functional PBE-GGA. Values from VASP.

Output
VASP energy	-8.7839	eV/atom
energy of formation	-129.6	meV/atom
space group	P4/mmm

Quantum ESPRESSO input file:
```
&SYSTEM
  ibrav = 0, nat = 6, ntyp = 3
/
ATOMIC_SPECIES
Hf 178.49 Hf.upf
Mn 54.94 Mn.upf
Be 9.01 Be.upf
CELL_PARAMETERS angstrom
-2.420 0.380 2.006
1.604 -1.571 2.232
3.746 8.073 2.991
ATOMIC_POSITIONS angstrom
Hf 0.000 0.000 0.000
Hf 2.498 5.383 1.994
Hf 1.248 2.690 0.997
Mn 2.695 6.092 4.597
Mn 0.235 0.789 2.632
Be 1.465 3.440 3.615
```



The highest VASP energy belongs to which entry? Hf2MnBe16



Which formula does entry 1 have? HfMnBe2



Repeat the first record exactly.
HfMnBe2 after structural relaxation. Source: Alexandria, functional PBE-GGA. Values from VASP.

Output
VASP energy	-6.6958	eV/atom
E above lowest polymorph	0	meV per atom
energy of formation	-51.9	meV/atom
space group	Fm-3m

Quantum ESPRESSO input file:
```
&SYSTEM
  ibrav = 0, nat = 4, ntyp = 3
/
ATOMIC_SPECIES
Be 9.01 Be.upf
Mn 54.94 Mn.upf
Hf 178.49 Hf.upf
CELL_PARAMETERS angstrom
-2.665 0.195 3.166
-3.995 -0.921 -0.596
-1.583 -3.482 1.592
ATOMIC_POSITIONS angstrom
Be -2.061 -1.052 1.041
Be -6.183 -3.156 3.122
Mn 0.000 0.000 0.000
Hf -4.122 -2.104 2.081
```



What is the VASP energy in the first record? -6.6958 eV/atom